A crystal of CsLaFe3 relaxed with PBEsol. Source: Alexandria, functional SCAN.

Properties
formation enthalpy at 0 K: 38.41 kcal/mol of atoms
total energy: -0.93325 Ha/atom

Unit cell a=5.1458 b=5.1458 c=5.1458 alpha=90.00 beta=90.00 gamma=90.00
With the nearest neighbours (Å) after each atom.
Atoms (fractional coordinates):
Cs: 0.5000 0.5000 0.5000  12 Fe 3.64
Fe: 0.0000 0.5000 0.0000  2 La 2.57
Fe: 0.0000 0.0000 0.5000  2 La 2.57
Fe: 0.5000 0.0000 0.0000  2 La 2.57
La: 0.0000 0.0000 0.0000  6 Fe 2.57